DFT (GGA+U) results for FePd2F6 after structural relaxation.

CIF file:
```
data_FePd2F6
_chemical_formula_sum 'Fe2 Pd4 F12'
_space_group_name_H-M_alt 'P 1'
_space_group_IT_number 1
_cell_length_a 7.530
_cell_length_b 7.530
_cell_length_c 4.763
_cell_angle_alpha 94.60
_cell_angle_beta 94.60
_cell_angle_gamma 93.27
loop_
_space_group_symop_operation_xyz
'x,y,z'
loop_
_atom_site_label
_atom_site_type_symbol
_atom_site_fract_x
_atom_site_fract_y
_atom_site_fract_z
Fe1 Fe 0.088 0.912 0.750
Fe2 Fe 0.912 0.088 0.250
Pd1 Pd 0.276 0.483 0.828
Pd2 Pd 0.483 0.276 0.328
Pd3 Pd 0.517 0.724 0.672
Pd4 Pd 0.724 0.517 0.172
F1 F 0.053 0.157 0.607
F2 F 0.098 0.675 0.870
F3 F 0.157 0.053 0.107
F4 F 0.283 0.444 0.300
F5 F 0.325 0.902 0.630
F6 F 0.444 0.283 0.800
F7 F 0.556 0.717 0.200
F8 F 0.675 0.098 0.370
F9 F 0.717 0.556 0.700
F10 F 0.843 0.947 0.893
F11 F 0.902 0.325 0.130
F12 F 0.947 0.843 0.393
```

space-group type	C2/c
DOS(E_F)	6.06	states/eV/cell
total DFT energy (no corrections)	-4.539	eV per atom
size of the total moment	5.0	μB per formula unit